# 1
Entry from Alexandria via LeMat-Bulk: an optimized crystal structure of HoTm2Cu (PBE).

ΔH_f (0 K): 14 meV per atom
ρ: 8.76 g cm⁻³
Calculated total energy: -17.6 eV/f.u.

abc: 9.776 9.776 9.776
angles: 21.23 21.23 21.23
Fractional positions:
Ho 0.000 0.000 0.000
Tm 0.566 0.566 0.566
Tm 0.765 0.765 0.765
Cu 0.165 0.165 0.165



# 2
Entry from Alexandria via LeMat-Bulk: an optimized crystal structure of Ho3TmCu4 (PBE).

ΔH_f (0 K): -272 meV per atom
ρ: 9.34 g cm⁻³
Calculated total energy: -36.8 eV/f.u.

abc: 3.430 4.878 9.754
angles: 90.00 90.00 90.00
Fractional positions:
Ho 0.000 0.000 0.000
Ho 0.000 0.500 0.251
Ho 0.000 0.500 0.749
Tm 0.000 0.000 0.500
Cu 0.500 0.000 0.252
Cu 0.500 0.000 0.748
Cu 0.500 0.500 0.000
Cu 0.500 0.500 0.500



# 3
Entry from Alexandria via LeMat-Bulk: an optimized crystal structure of Ho4Tm3Cu4 (PBE).

ΔH_f (0 K): -80 meV per atom
ρ: 9.07 g cm⁻³
Calculated total energy: -49.0 eV/f.u.

abc: 8.645 8.645 8.645
angles: 147.82 130.33 60.42
Fractional positions:
Ho 0.048 0.828 0.220
Ho 0.393 0.172 0.220
Ho 0.607 0.828 0.780
Ho 0.952 0.172 0.780
Tm 0.000 0.500 0.500
Tm 0.396 0.396 0.000
Tm 0.604 0.604 0.000
Cu 0.200 0.700 0.500
Cu 0.332 0.000 0.332
Cu 0.668 0.000 0.668
Cu 0.800 0.300 0.500



# 4
Entry from Alexandria via LeMat-Bulk: an optimized crystal structure of Ho3Tm2Cu3 (PBE).

ΔH_f (0 K): -169 meV per atom
ρ: 9.27 g cm⁻³
Calculated total energy: -36.3 eV/f.u.

abc: 10.798 10.798 10.798
angles: 161.37 152.87 33.12
Fractional positions:
Ho 0.000 0.000 0.000
Ho 0.383 0.883 0.500
Ho 0.617 0.117 0.500
Tm 0.226 0.226 0.000
Tm 0.774 0.774 0.000
Cu 0.116 0.616 0.500
Cu 0.500 0.500 0.000
Cu 0.884 0.384 0.500